Below is a PBEsol-optimized structure of KTeRu2, with properties calculated at the SCAN level.

It has space group Immm (No. 71), with a = 3.096 Å, b = 5.239 Å, c = 9.645 Å, α = 90.00°, β = 90.00° and γ = 90.00°. The distinct sites, in fractional coordinates, are K at (0.000, 0.000, 0.000), Te at (0.000, 0.000, 0.500) and Ru at (0.000, 0.500, 0.213).

As for the raw formation energy: 912 meV/atom. Its uncorrected energy is -111.6 eV per formula unit.

***

Below is a PBEsol-optimized structure of KTeRu3, with properties calculated at the SCAN level.

It has space group Pm-3m (No. 221), with a = 4.870 Å, b = 4.870 Å, c = 4.870 Å, α = 90.00°, β = 90.00° and γ = 90.00°. The distinct sites, in fractional coordinates, are K at (0.000, 0.000, 0.000), Te at (0.500, 0.500, 0.500) and Ru at (0.000, 0.500, 0.500).

As for the raw formation energy: 1321 meV/atom. Its uncorrected energy is -143.5 eV per formula unit.

***

Below is a PBEsol-optimized structure of KTeRu4, with properties calculated at the SCAN level.

It has space group F-43m (No. 216), with a = 7.434 Å, b = 7.434 Å, c = 7.434 Å, α = 90.00°, β = 90.00° and γ = 90.00°. The distinct sites, in fractional coordinates, are K at (0.000, 0.000, 0.000), Te at (0.250, 0.250, 0.750) and Ru at (0.124, 0.124, 0.376).

As for the raw formation energy: 863 meV/atom. Its uncorrected energy is -179.7 eV per formula unit.

***

Below is a PBEsol-optimized structure of KTiRu3, with properties calculated at the SCAN level.

It has space group Pm-3m (No. 221), with a = 4.403 Å, b = 4.403 Å, c = 4.403 Å, α = 90.00°, β = 90.00° and γ = 90.00°. The distinct sites, in fractional coordinates, are K at (0.000, 0.000, 0.000), Ti at (0.500, 0.500, 0.500) and Ru at (0.000, 0.000, 0.500).

The calculation puts the formation enthalpy at 0 K at 2.694 eV/atom. Its uncorrected energy is -115.4 eV per formula unit.

***

Below is a PBEsol-optimized structure of KTiRuW2, with properties calculated at the SCAN level.

It has space group P4/mmm (No. 123), with a = 4.438 Å, b = 4.438 Å, c = 4.177 Å, α = 90.00°, β = 90.00° and γ = 90.00°. The distinct sites, in fractional coordinates, are K at (0.000, 0.000, 0.000), Ti at (0.000, 0.000, 0.500), Ru at (0.500, 0.500, 0.500) and W at (0.000, 0.500, 0.000).

The calculation puts the formation enthalpy at 0 K at 3.279 eV/atom. Its uncorrected energy is -182.2 eV per formula unit.

***

Below is a PBEsol-optimized structure of KTlRu3, with properties calculated at the SCAN level.

It has space group Pm-3m (No. 221), with a = 4.636 Å, b = 4.636 Å, c = 4.636 Å, α = 90.00°, β = 90.00° and γ = 90.00°. The distinct sites, in fractional coordinates, are K at (0.000, 0.000, 0.000), Tl at (0.500, 0.500, 0.500) and Ru at (0.000, 0.000, 0.500).

The calculation puts the formation enthalpy at 0 K at 2.766 eV/atom. Its uncorrected energy is -171.3 eV per formula unit.

***

Below is a PBEsol-optimized structure of KTlRu2, with properties calculated at the SCAN level.

It has space group Cm (No. 8), with a = 8.018 Å, b = 2.864 Å, c = 7.902 Å, α = 90.00°, β = 95.07° and γ = 90.00°. The distinct sites, in fractional coordinates, are K at (0.000, 0.000, 0.000), Tl at (0.237, 0.000, 0.653), Ru at (0.002, 0.500, 0.417) and Ru at (0.262, 0.500, 0.312).

Its distance to the lowest polymorph of the same formula is 0.000 eV/atom. The calculation puts the formation enthalpy at 0 K at 0.528 eV/atom. Its uncorrected energy is -148.2 eV per formula unit.

***

Below is a PBEsol-optimized structure of KTlRu2, with properties calculated at the SCAN level.

It has space group P2/m (No. 10), with a = 2.814 Å, b = 4.922 Å, c = 6.374 Å, α = 90.00°, β = 95.16° and γ = 90.00°. The distinct sites, in fractional coordinates, are K at (0.000, 0.000, 0.000), Tl at (0.500, 0.000, 0.500) and Ru at (0.268, 0.500, 0.663).

Its distance to the lowest polymorph of the same formula is 0.433 eV/atom. The calculation puts the formation enthalpy at 0 K at 0.961 eV/atom. Its uncorrected energy is -146.5 eV per formula unit.

***

Below is a PBEsol-optimized structure of KTlRu2, with properties calculated at the SCAN level.

It has space group P4/mmm (No. 123), with a = 3.488 Å, b = 3.488 Å, c = 7.242 Å, α = 90.00°, β = 90.00° and γ = 90.00°. The distinct sites, in fractional coordinates, are K at (0.000, 0.000, 0.000), Tl at (0.000, 0.000, 0.500) and Ru at (0.500, 0.500, 0.331).

Its distance to the lowest polymorph of the same formula is 0.548 eV/atom. The calculation puts the formation enthalpy at 0 K at 1.076 eV/atom. Its uncorrected energy is -146.0 eV per formula unit.

***

Below is a PBEsol-optimized structure of KTlRu2, with properties calculated at the SCAN level.

It has space group R-3m (No. 166, hexagonal axes), with a = 2.9455 Å, b = 2.9455 Å, c = 29.9210 Å, α = 90.00°, β = 90.00° and γ = 120.00°. The distinct sites, in fractional coordinates, are K at (0.0000, 0.0000, 0.0000), Tl at (0.0000, 0.0000, 0.5000) and Ru at (0.0000, 0.0000, 0.2402).

Its distance to the lowest polymorph of the same formula is 0.563 eV/atom. The calculation puts the formation enthalpy at 0 K at 1.091 eV/atom. Its uncorrected energy is -146.0 eV per formula unit.

***

Below is a PBEsol-optimized structure of KRuW2, with properties calculated at the SCAN level.

It has space group P2/m (No. 10), with a = 2.737 Å, b = 3.853 Å, c = 8.246 Å, α = 90.00°, β = 98.97° and γ = 90.00°. The distinct sites, in fractional coordinates, are K at (0.000, 0.000, 0.000), Ru at (0.500, 0.000, 0.500) and W at (0.065, 0.500, 0.651).

Its distance to the lowest polymorph of the same formula is 0.039 eV/atom. The calculation puts the formation enthalpy at 0 K at 0.917 eV/atom. Its uncorrected energy is -178.9 eV per formula unit.

***

Below is a PBEsol-optimized structure of K2RuW, with properties calculated at the SCAN level.

It has space group Pmm2 (No. 25), with a = 3.035 Å, b = 3.708 Å, c = 10.357 Å, α = 90.00°, β = 90.00° and γ = 90.00°. The distinct sites, in fractional coordinates, are K at (0.000, 0.000, 0.000), K at (0.500, 0.500, 0.416), Ru at (0.000, 0.000, 0.667) and W at (0.500, 0.500, 0.741).

The calculation puts the formation enthalpy at 0 K at 0.776 eV/atom. Its uncorrected energy is -118.1 eV per formula unit.